Entry 1:
Compound: Re3GeF
Source: the Alexandria database
Functional: GGA-PBE
Structure: relaxed

The value obtained for the formation energy from raw total energies is 1.552 eV per atom.

The structure belongs to space group Pm-3m (No. 221); the cell edges are 4.2403, 4.2403 and 4.2403 Å and the angles 90.00°, 90.00° and 90.00°. The asymmetric unit holds Re at (0.0000, 0.0000, 0.5000), Ge at (0.5000, 0.5000, 0.5000) and F at (0.0000, 0.0000, 0.0000).


Entry 2:
Compound: ReGeF3
Source: the Alexandria database
Functional: GGA-PBE
Structure: relaxed

The value obtained for the formation energy from raw total energies is -0.390 eV per atom.

The structure belongs to space group Pm-3m (No. 221); the cell edges are 4.4587, 4.4587 and 4.4587 Å and the angles 90.00°, 90.00° and 90.00°. The asymmetric unit holds Re at (0.0000, 0.0000, 0.0000), Ge at (0.5000, 0.5000, 0.5000) and F at (0.0000, 0.5000, 0.5000).


Entry 3:
Compound: ReGe2F2
Source: the Alexandria database
Functional: GGA-PBE
Structure: relaxed

The value obtained for the formation energy from raw total energies is -0.222 eV per atom.

The structure belongs to space group I4/mmm (No. 139); the cell edges are 4.8343, 4.8343 and 6.3139 Å and the angles 90.00°, 90.00° and 90.00°. The asymmetric unit holds Re at (0.0000, 0.0000, 0.0000), Ge at (0.0000, 0.5000, 0.2500) and F at (0.0000, 0.0000, 0.3272).


Entry 4:
Compound: ReGe2F
Source: the Alexandria database
Functional: GGA-PBE
Structure: relaxed

The value obtained for the formation energy from raw total energies is 0.154 eV per atom.

The structure belongs to space group I-42d (No. 122); the cell edges are 5.5190, 5.5190 and 10.8397 Å and the angles 90.00°, 90.00° and 90.00°. The asymmetric unit holds Re at (0.0000, 0.0000, 0.0000), Ge at (0.2503, 0.2500, 0.1250) and F at (0.0000, 0.0000, 0.5000).


Entry 5:
Compound: ReGe2F2
Source: the Alexandria database
Functional: GGA-PBE
Structure: relaxed

The value obtained for the formation energy from raw total energies is -0.423 eV per atom.

The structure belongs to space group P4/mbm (No. 127); the cell edges are 7.3724, 7.3724 and 2.6492 Å and the angles 90.00°, 90.00° and 90.00°. The asymmetric unit holds Re at (0.0000, 0.0000, 0.0000), Ge at (0.2403, 0.2597, 0.5000) and F at (0.1080, 0.6080, 0.0000).


Entry 6:
Compound: Re2GeF
Source: the Alexandria database
Functional: GGA-PBE
Structure: relaxed

The value obtained for the formation energy from raw total energies is 0.658 eV per atom.

The structure belongs to space group I-42d (No. 122); the cell edges are 6.6871, 6.6871 and 5.1047 Å and the angles 90.00°, 90.00° and 90.00°. The asymmetric unit holds Re at (0.1876, 0.2500, 0.1250), Ge at (0.0000, 0.0000, 0.5000) and F at (0.0000, 0.0000, 0.0000).


Entry 7:
Compound: ReGeF3
Source: the Alexandria database
Functional: GGA-PBE
Structure: relaxed

The value obtained for the formation energy from raw total energies is -0.435 eV per atom.

The structure belongs to space group Pm-3m (No. 221); the cell edges are 4.2008, 4.2008 and 4.2008 Å and the angles 90.00°, 90.00° and 90.00°. The asymmetric unit holds Re at (0.0000, 0.0000, 0.0000), Ge at (0.5000, 0.5000, 0.5000) and F at (0.0000, 0.0000, 0.5000).


Entry 8:
Compound: ReGeSeF2
Source: the Alexandria database
Functional: GGA-PBE
Structure: relaxed

The value obtained for the formation energy from raw total energies is -0.240 eV per atom.

The structure belongs to space group P4/mmm (No. 123); the cell edges are 4.0430, 4.0430 and 6.0145 Å and the angles 90.00°, 90.00° and 90.00°. The asymmetric unit holds Re at (0.0000, 0.0000, 0.0000), Ge at (0.5000, 0.5000, 0.5000), Se at (0.5000, 0.5000, 0.0000) and F at (0.0000, 0.5000, 0.5000).